Dy4Hg2Au | GGA-PBE | optimized geometry

a b c (Å): 5.137 5.137 8.939
angles (deg): 73.30 73.30 60.00
Element x y z (fractional)
Au1 0.000 0.000 0.000
Dy1 0.374 0.374 0.877
Dy2 0.877 0.877 0.370
Dy3 0.626 0.626 0.123
Dy4 0.123 0.123 0.630
Hg1 0.245 0.245 0.266
Hg2 0.755 0.755 0.734

## Properties
DOS at the Fermi energy ... 6.702 states/eV/f.u.
E_tot ... -25.259 eV per formula unit
ΔE_f ... -2.97 eV per formula unit
Crystal system ... trigonal